[1]
First-principles (PBE-GGA) data for an optimized crystal structure of ScBe2Os, as listed in Alexandria via LeMat-Bulk.

```
data_ScBe2Os
_cell_length_a 4.261
_cell_length_b 4.261
_cell_length_c 4.552
_cell_angle_alpha 71.12
_cell_angle_beta 71.12
_cell_angle_gamma 45.35
_symmetry_space_group_name_H-M 'P 1'
_symmetry_Int_Tables_number 1
loop_
_symmetry_equiv_pos_as_xyz
'x,y,z'
loop_
_atom_site_label
_atom_site_type_symbol
_atom_site_fract_x
_atom_site_fract_y
_atom_site_fract_z
Sc1 Sc 0.750 0.750 0.750
Be1 Be 0.974 0.974 0.126
Be2 Be 0.526 0.526 0.374
Os1 Os 0.250 0.250 0.250
```

DOS(E_F), states/eV/cell: 1.7
Distance to the lowest polymorph of the same formula, meV per atom: 14.2
M_tot, μB/atom: 0.000

---

[2]
First-principles (PBE-GGA) data for an optimized crystal structure of ScBe2Os, as listed in Alexandria via LeMat-Bulk.

```
data_ScBe2Os
_cell_length_a 3.363
_cell_length_b 3.176
_cell_length_c 4.959
_cell_angle_alpha 71.31
_cell_angle_beta 90.00
_cell_angle_gamma 90.00
_symmetry_space_group_name_H-M 'P 1'
_symmetry_Int_Tables_number 1
loop_
_symmetry_equiv_pos_as_xyz
'x,y,z'
loop_
_atom_site_label
_atom_site_type_symbol
_atom_site_fract_x
_atom_site_fract_y
_atom_site_fract_z
Sc1 Sc 0.500 0.789 0.797
Be1 Be 0.000 0.175 0.025
Be2 Be 0.500 0.053 0.269
Os1 Os 0.000 0.483 0.408
```

DOS(E_F), states/eV/cell: 1.8
Distance to the lowest polymorph of the same formula, meV per atom: 0.0
M_tot, μB/atom: 0.000

---

[3]
First-principles (PBE-GGA) data for an optimized crystal structure of Sc4BeOs, as listed in Alexandria via LeMat-Bulk.

```
data_Sc4BeOs
_cell_length_a 5.426
_cell_length_b 5.426
_cell_length_c 5.426
_cell_angle_alpha 60.00
_cell_angle_beta 60.00
_cell_angle_gamma 60.00
_symmetry_space_group_name_H-M 'P 1'
_symmetry_Int_Tables_number 1
loop_
_symmetry_equiv_pos_as_xyz
'x,y,z'
loop_
_atom_site_label
_atom_site_type_symbol
_atom_site_fract_x
_atom_site_fract_y
_atom_site_fract_z
Sc1 Sc 0.881 0.373 0.373
Sc2 Sc 0.373 0.373 0.881
Sc3 Sc 0.373 0.881 0.373
Sc4 Sc 0.373 0.373 0.373
Be1 Be 0.750 0.750 0.750
Os1 Os 0.000 0.000 0.000
```

Energy, eV/cell: -36.2
DOS(E_F), states/eV/cell: 8.1
M_tot, μB/atom: 0.001

---

[4]
First-principles (PBE-GGA) data for an optimized crystal structure of ScBe2Os, as listed in Alexandria via LeMat-Bulk.

```
data_ScBe2Os
_cell_length_a 3.980
_cell_length_b 3.980
_cell_length_c 3.197
_cell_angle_alpha 90.00
_cell_angle_beta 90.00
_cell_angle_gamma 90.00
_symmetry_space_group_name_H-M 'P 1'
_symmetry_Int_Tables_number 1
loop_
_symmetry_equiv_pos_as_xyz
'x,y,z'
loop_
_atom_site_label
_atom_site_type_symbol
_atom_site_fract_x
_atom_site_fract_y
_atom_site_fract_z
Sc1 Sc 0.000 0.500 0.500
Be1 Be 0.000 0.000 0.000
Be2 Be 0.500 0.500 0.000
Os1 Os 0.500 0.000 0.500
```

DOS(E_F), states/eV/cell: 0.9
Distance to the lowest polymorph of the same formula, meV per atom: 245.1
M_tot, μB/atom: 0.000

---

[5]
First-principles (PBE-GGA) data for an optimized crystal structure of Sc2BeOs2, as listed in Alexandria via LeMat-Bulk.

```
data_Sc2BeOs2
_cell_length_a 6.191
_cell_length_b 6.191
_cell_length_c 4.285
_cell_angle_alpha 90.00
_cell_angle_beta 90.00
_cell_angle_gamma 90.00
_symmetry_space_group_name_H-M 'P 1'
_symmetry_Int_Tables_number 1
loop_
_symmetry_equiv_pos_as_xyz
'x,y,z'
loop_
_atom_site_label
_atom_site_type_symbol
_atom_site_fract_x
_atom_site_fract_y
_atom_site_fract_z
Sc1 Sc 0.173 0.673 0.500
Sc2 Sc 0.673 0.827 0.500
Sc3 Sc 0.827 0.327 0.500
Sc4 Sc 0.327 0.173 0.500
Be1 Be 0.000 0.000 0.000
Be2 Be 0.500 0.500 0.000
Os1 Os 0.354 0.854 0.000
Os2 Os 0.854 0.646 0.000
Os3 Os 0.646 0.146 0.000
Os4 Os 0.146 0.354 0.000
```

Energy, eV/cell: -79.8
DOS(E_F), states/eV/cell: 8.2
M_tot, μB/atom: 0.000

---

[6]
First-principles (PBE-GGA) data for an optimized crystal structure of ScBeOs4, as listed in Alexandria via LeMat-Bulk.

```
data_ScBeOs4
_cell_length_a 5.152
_cell_length_b 5.152
_cell_length_c 5.152
_cell_angle_alpha 60.00
_cell_angle_beta 60.00
_cell_angle_gamma 60.00
_symmetry_space_group_name_H-M 'P 1'
_symmetry_Int_Tables_number 1
loop_
_symmetry_equiv_pos_as_xyz
'x,y,z'
loop_
_atom_site_label
_atom_site_type_symbol
_atom_site_fract_x
_atom_site_fract_y
_atom_site_fract_z
Sc1 Sc 0.250 0.250 0.250
Be1 Be 0.000 0.000 0.000
Os1 Os 0.625 0.625 0.124
Os2 Os 0.625 0.124 0.625
Os3 Os 0.625 0.625 0.625
Os4 Os 0.124 0.625 0.625
```

Energy, eV/cell: -53.3
DOS(E_F), states/eV/cell: 6.7
M_tot, μB/atom: 0.000

---

[7]
First-principles (PBE-GGA) data for an optimized crystal structure of SrScBeOs2, as listed in Alexandria via LeMat-Bulk.

```
data_SrScBeOs2
_cell_length_a 4.387
_cell_length_b 4.766
_cell_length_c 4.387
_cell_angle_alpha 90.00
_cell_angle_beta 90.00
_cell_angle_gamma 90.00
_symmetry_space_group_name_H-M 'P 1'
_symmetry_Int_Tables_number 1
loop_
_symmetry_equiv_pos_as_xyz
'x,y,z'
loop_
_atom_site_label
_atom_site_type_symbol
_atom_site_fract_x
_atom_site_fract_y
_atom_site_fract_z
Sc1 Sc 0.500 0.500 0.500
Sr1 Sr 0.000 0.500 0.000
Os1 Os 0.000 0.000 0.500
Os2 Os 0.500 0.000 0.000
Be1 Be 0.000 0.000 0.000
```

Energy, eV/cell: -30.6
DOS(E_F), states/eV/cell: 5.7
M_tot, μB/atom: 0.000

---

[8]
First-principles (PBE-GGA) data for an optimized crystal structure of TbScBeOs, as listed in Alexandria via LeMat-Bulk.

```
data_TbScBeOs
_cell_length_a 4.697
_cell_length_b 4.697
_cell_length_c 4.697
_cell_angle_alpha 60.00
_cell_angle_beta 60.00
_cell_angle_gamma 60.00
_symmetry_space_group_name_H-M 'P 1'
_symmetry_Int_Tables_number 1
loop_
_symmetry_equiv_pos_as_xyz
'x,y,z'
loop_
_atom_site_label
_atom_site_type_symbol
_atom_site_fract_x
_atom_site_fract_y
_atom_site_fract_z
Sc1 Sc 0.250 0.250 0.250
Tb1 Tb 0.750 0.750 0.750
Os1 Os 0.000 0.000 0.000
Be1 Be 0.500 0.500 0.500
```

Energy, eV/cell: -26.4
DOS(E_F), states/eV/cell: 3.4
M_tot, μB/atom: 0.000

---

[9]
First-principles (PBE-GGA) data for an optimized crystal structure of Be2OsSe, as listed in Alexandria via LeMat-Bulk.

```
data_Be2OsSe
_cell_length_a 4.628
_cell_length_b 4.628
_cell_length_c 4.628
_cell_angle_alpha 140.86
_cell_angle_beta 127.85
_cell_angle_gamma 67.09
_symmetry_space_group_name_H-M 'P 1'
_symmetry_Int_Tables_number 1
loop_
_symmetry_equiv_pos_as_xyz
'x,y,z'
loop_
_atom_site_label
_atom_site_type_symbol
_atom_site_fract_x
_atom_site_fract_y
_atom_site_fract_z
Be1 Be 0.990 0.990 0.000
Be2 Be 0.765 0.265 0.500
Os1 Os 0.516 0.516 0.000
Se1 Se 0.230 0.730 0.500
```

DOS(E_F), states/eV/cell: 1.4
Formation energy without anion corrections, eV/atom: 0.36
M_tot, μB/atom: 0.000

---

[10]
First-principles (PBE-GGA) data for an optimized crystal structure of Be2OsSe, as listed in Alexandria via LeMat-Bulk.

```
data_Be2OsSe
_cell_length_a 4.367
_cell_length_b 4.765
_cell_length_c 3.008
_cell_angle_alpha 71.30
_cell_angle_beta 90.63
_cell_angle_gamma 117.49
_symmetry_space_group_name_H-M 'P 1'
_symmetry_Int_Tables_number 1
loop_
_symmetry_equiv_pos_as_xyz
'x,y,z'
loop_
_atom_site_label
_atom_site_type_symbol
_atom_site_fract_x
_atom_site_fract_y
_atom_site_fract_z
Be1 Be 0.000 0.000 0.000
Be2 Be 0.500 0.000 0.500
Os1 Os 0.000 0.500 0.500
Se1 Se 0.500 0.500 0.000
```

DOS(E_F), states/eV/cell: 2.3
Formation energy without anion corrections, eV/atom: 0.49
M_tot, μB/atom: 0.000

---

[11]
First-principles (PBE-GGA) data for an optimized crystal structure of Be2OsSe, as listed in Alexandria via LeMat-Bulk.

```
data_Be2OsSe
_cell_length_a 4.212
_cell_length_b 4.212
_cell_length_c 4.507
_cell_angle_alpha 91.33
_cell_angle_beta 91.33
_cell_angle_gamma 43.65
_symmetry_space_group_name_H-M 'P 1'
_symmetry_Int_Tables_number 1
loop_
_symmetry_equiv_pos_as_xyz
'x,y,z'
loop_
_atom_site_label
_atom_site_type_symbol
_atom_site_fract_x
_atom_site_fract_y
_atom_site_fract_z
Be1 Be 0.041 0.041 0.896
Be2 Be 0.459 0.459 0.604
Os1 Os 0.750 0.750 0.750
Se1 Se 0.250 0.250 0.250
```

DOS(E_F), states/eV/cell: 1.5
Formation energy without anion corrections, eV/atom: 0.31
M_tot, μB/atom: 0.000

---

[12]
First-principles (PBE-GGA) data for an optimized crystal structure of Be2OsSe, as listed in Alexandria via LeMat-Bulk.

```
data_Be2OsSe
_cell_length_a 4.074
_cell_length_b 4.074
_cell_length_c 5.249
_cell_angle_alpha 92.92
_cell_angle_beta 92.92
_cell_angle_gamma 42.73
_symmetry_space_group_name_H-M 'P 1'
_symmetry_Int_Tables_number 1
loop_
_symmetry_equiv_pos_as_xyz
'x,y,z'
loop_
_atom_site_label
_atom_site_type_symbol
_atom_site_fract_x
_atom_site_fract_y
_atom_site_fract_z
Be1 Be 0.072 0.072 0.891
Be2 Be 0.775 0.775 0.726
Os1 Os 0.488 0.488 0.580
Se1 Se 0.165 0.165 0.304
```

Formation energy without anion corrections, eV/atom: 0.08
M_tot, μB/atom: 0.000